Compound: LiLaPbI2
Source: Alexandria via LeMat-Bulk
Functional: PBE
Structure: relaxed

abc: 5.259 5.775 5.259
angles: 90.00 90.00 90.00
Positions (direct):
Pb: 0.000 0.500 0.000
I: 0.000 0.000 0.500
I: 0.500 0.000 0.000
Li: 0.000 0.000 0.000
La: 0.500 0.500 0.500

Output
* E_form (uncorrected): -0.481 eV/atom
* ρ: 6.31 g/cm³
* energy: -3.2111 eV per atom
* space-group type: No. 123



Compound: PrHo3Fe
Source: Alexandria via LeMat-Bulk
Functional: PBE
Structure: relaxed

abc: 5.280 5.280 5.280
angles: 90.00 90.00 90.00
Positions (direct):
Pr: 0.500 0.500 0.500
Ho: 0.000 0.500 0.000
Ho: 0.000 0.000 0.500
Ho: 0.500 0.000 0.000
Fe: 0.000 0.000 0.000

Output
* formation energy from the elements: 89 meV/atom
* ρ: 7.80 g/cm³
* energy: -5.3060 eV per atom
* space-group type: No. 221



Compound: Th3AgC
Source: Alexandria via LeMat-Bulk
Functional: PBE
Structure: relaxed

abc: 5.060 5.060 5.060
angles: 90.00 90.00 90.00
Positions (direct):
C: 0.000 0.000 0.000
Ag: 0.500 0.500 0.500
Th: 0.000 0.500 0.000
Th: 0.000 0.000 0.500
Th: 0.500 0.000 0.000

Output
* formation energy from the elements: -86 meV/atom
* ρ: 10.46 g/cm³
* energy: -6.9534 eV per atom
* energy above the most stable polymorph in this dataset: 0.117 eV/atom
* space-group type: No. 221



Compound: RuPb2Se
Source: Alexandria via LeMat-Bulk
Functional: PBE
Structure: relaxed

abc: 6.023 6.023 6.066
angles: 65.74 65.74 30.85
Positions (direct):
Pb: 0.007 0.007 0.946
Pb: 0.204 0.204 0.303
Ru: 0.481 0.481 0.581
Se: 0.809 0.809 0.670

Output
* E_form (uncorrected): 0.143 eV/atom
* ρ: 9.67 g/cm³
* energy: -4.9009 eV per atom
* space-group type: No. 8



Compound: SrPW2
Source: Alexandria via LeMat-Bulk
Functional: PBE
Structure: relaxed

abc: 5.623 5.623 5.329
angles: 71.09 71.09 32.13
Positions (direct):
Sr: 0.500 0.500 0.000
P: 0.000 0.000 0.500
W: 0.703 0.703 0.369
W: 0.297 0.297 0.631

Output
* formation energy from the elements: 543 meV/atom
* ρ: 9.57 g/cm³
* energy: -7.7064 eV per atom
* space-group type: No. 12



Compound: CaHg2Cl
Source: Alexandria via LeMat-Bulk
Functional: PBE
Structure: relaxed

abc: 5.945 4.247 4.247
angles: 90.00 90.00 90.00
Positions (direct):
Ca: 0.500 0.500 0.000
Hg: 0.000 0.000 0.000
Hg: 0.000 0.500 0.500
Cl: 0.500 0.000 0.500

Output
* E_form (uncorrected): -0.812 eV/atom
* ρ: 7.38 g/cm³
* energy: -1.9248 eV per atom
* energy above the most stable polymorph in this dataset: 0.057 eV/atom
* space-group type: No. 123



Compound: LiCaMnTe2
Source: Alexandria via LeMat-Bulk
Functional: PBE
Structure: relaxed

abc: 5.383 5.383 4.463
angles: 90.00 90.00 90.00
Site moments in Bohr magnetons follow the coordinates.
Positions (direct):
Ca: 0.500 0.500 0.500  0.01
Te: 0.000 0.500 0.000  0.04
Te: 0.500 0.000 0.000  0.04
Mn: 0.000 0.000 0.500  4.05
Li: 0.000 0.000 0.000  -0.02

Output
* E_form (uncorrected): -0.190 eV/atom
* ρ: 4.59 g/cm³
* energy: -4.0638 eV per atom
* space-group type: No. 123



Compound: ScSi4
Source: Alexandria via LeMat-Bulk
Functional: PBE
Structure: relaxed

abc: 4.963 4.963 4.963
angles: 90.00 90.00 90.00
Positions (direct):
Sc: 0.500 0.500 0.500
Si: 0.000 0.000 0.000
Si: 0.500 0.000 0.500
Si: 0.000 0.500 0.500
Si: 0.500 0.500 0.000

Output
* E_form (uncorrected): 1.180 eV/atom
* ρ: 2.14 g/cm³
* energy: -4.4249 eV per atom
* energy above the most stable polymorph in this dataset: 1.315 eV/atom
* space-group type: No. 221



Compound: LiNdNiPb
Source: Alexandria via LeMat-Bulk
Functional: PBE
Structure: relaxed

abc: 4.804 4.804 4.804
angles: 60.00 60.00 60.00
Positions (direct):
Pb: 0.500 0.500 0.500
Ni: 0.250 0.250 0.250
Nd: 0.000 0.000 0.000
Li: 0.750 0.750 0.750

Output
* formation energy from the elements: -387 meV/atom
* ρ: 8.83 g/cm³
* energy: -4.4297 eV per atom
* space-group type: No. 216



Compound: Sm2YMgTe5
Source: Alexandria via LeMat-Bulk
Functional: PBE
Structure: relaxed

abc: 4.326 9.689 13.544
angles: 90.00 90.00 102.90
Positions (direct):
Sm: 0.865 0.731 0.802
Sm: 0.112 0.224 0.683
Sm: 0.135 0.269 0.302
Sm: 0.888 0.776 0.183
Y: 0.796 0.592 0.512
Y: 0.204 0.408 0.012
Mg: 0.553 0.106 0.957
Mg: 0.447 0.894 0.457
Te: 0.365 0.730 0.999
Te: 0.688 0.376 0.847
Te: 0.495 0.990 0.776
Te: 0.282 0.565 0.672
Te: 0.951 0.901 0.577
Te: 0.635 0.270 0.499
Te: 0.312 0.624 0.347
Te: 0.505 0.010 0.276
Te: 0.718 0.435 0.172
Te: 0.049 0.099 0.077

Output
* E_form (uncorrected): -1.215 eV/atom
* ρ: 6.31 g/cm³
* energy: -4.9040 eV per atom
* space-group type: No. 36



Compound: TaTl2Fe
Source: Alexandria via LeMat-Bulk
Functional: PBE
Structure: relaxed

abc: 5.443 5.443 5.443
angles: 135.31 135.31 65.05
Site moments in Bohr magnetons follow the coordinates.
Positions (direct):
Fe: 0.500 0.500 0.000  2.72
Ta: 0.750 0.250 0.500  -0.20
Tl: 0.000 0.000 0.000  -0.01
Tl: 0.250 0.750 0.500  0.02

Output
* formation energy from the elements: 764 meV/atom
* ρ: 13.64 g/cm³
* energy: -5.4983 eV per atom
* energy above the most stable polymorph in this dataset: 0.405 eV/atom
* space-group type: No. 119



Compound: Sn2HPd
Source: Alexandria via LeMat-Bulk
Functional: PBE
Structure: relaxed

abc: 5.049 5.049 7.453
angles: 70.20 70.20 90.00
Positions (direct):
H: 0.500 0.500 0.000
H: 0.250 0.750 0.500
Sn: 0.552 0.125 0.250
Sn: 0.198 0.625 0.250
Sn: 0.375 0.448 0.750
Sn: 0.875 0.802 0.750
Pd: 0.000 0.000 0.000
Pd: 0.750 0.250 0.500

Output
* ρ: 6.87 g/cm³
* energy: -3.9789 eV per atom
* energy above the most stable polymorph in this dataset: 0.081 eV/atom
* space-group type: No. 122